Record 1
Material: KP2SeO
Method: DFT, PBE
State: optimized geometry

Values from the calculation:
volume = 149 Å³/f.u.
polymorph energy (0 for the lowest one) = 1.2245 eV per atom
VASP energy = -12.18 eV/cell
energy relative to the elements, uncorrected = 158 kJ per mole of atoms
magnetic moment = 4.45 μB/cell

abc: 5.8282 5.8282 4.3877
angles: 90.00 90.00 90.00
Closest atoms and distances in Å follow each position.
Fractional coordinates of all 5 atoms:
P1 0.0000 0.5000 0.0000  2 K 2.91
P2 0.5000 0.0000 0.0000  2 K 2.91
K1 0.0000 0.0000 0.0000  2 O 2.19
O1 0.0000 0.0000 0.5000  2 K 2.19
Se1 0.5000 0.5000 0.5000  8 P 3.65



Record 2
Material: KPSeO2
Method: DFT, PBE
State: optimized geometry

Values from the calculation:
volume = 147 Å³/f.u.
polymorph energy (0 for the lowest one) = 1.1575 eV per atom
VASP energy = -14.02 eV/cell
energy relative to the elements, uncorrected = 114 kJ per mole of atoms
magnetic moment = 3.84 μB/cell

abc: 4.3582 4.3582 7.7422
angles: 90.00 90.00 90.00
Closest atoms and distances in Å follow each position.
Fractional coordinates of all 5 atoms:
P1 0.0000 0.0000 0.5000  4 Se 3.08
K1 0.0000 0.0000 0.0000  4 O 2.18
O1 0.0000 0.5000 0.0000  2 K 2.18
O2 0.5000 0.0000 0.0000  2 K 2.18
Se1 0.5000 0.5000 0.5000  4 P 3.08



Record 3
Material: KPSeO2
Method: DFT, PBE
State: optimized geometry

Values from the calculation:
volume = 86 Å³/f.u.
polymorph energy (0 for the lowest one) = 0.0000 eV per atom
VASP energy = -19.80 eV/cell
energy relative to the elements, uncorrected = 2 kJ per mole of atoms
magnetic moment = 1.88 μB/cell

abc: 4.1984 4.1984 4.8778
angles: 90.00 90.00 90.00
Closest atoms and distances in Å follow each position.
Fractional coordinates of all 5 atoms:
P1 0.0000 0.0000 0.5000  2 Se 2.44
K1 0.5000 0.5000 0.5000  4 P 2.97, 8 O 3.22
O1 0.0000 0.5000 0.0000  2 Se 2.10
O2 0.5000 0.0000 0.0000  2 Se 2.10
Se1 0.0000 0.0000 0.0000  4 O 2.10



Record 4
Material: KP2SeO
Method: DFT, PBE
State: optimized geometry

Values from the calculation:
volume = 105 Å³/f.u.
polymorph energy (0 for the lowest one) = 0.0000 eV per atom
VASP energy = -18.30 eV/cell
energy relative to the elements, uncorrected = 40 kJ per mole of atoms
magnetic moment = 0.42 μB/cell

abc: 5.2196 5.2196 3.8450
angles: 90.00 90.00 90.00
Closest atoms and distances in Å follow each position.
Fractional coordinates of all 5 atoms:
P1 0.0000 0.5000 0.0000  2 Se 2.61
P2 0.5000 0.0000 0.0000  2 Se 2.61
K1 0.5000 0.5000 0.5000  8 P 3.24
O1 0.0000 0.0000 0.5000  2 Se 1.92
Se1 0.0000 0.0000 0.0000  2 O 1.92



Record 5
Material: KSiP2O
Method: DFT, PBE
State: optimized geometry

Values from the calculation:
volume = 90 Å³/f.u.
polymorph energy (0 for the lowest one) = 0.0000 eV per atom
VASP energy = -23.06 eV/cell
energy relative to the elements, uncorrected = -15 kJ per mole of atoms
magnetic moment = 0.00 μB/cell

abc: 5.1953 5.1953 3.3193
angles: 90.00 90.00 90.00
Closest atoms and distances in Å follow each position.
Fractional coordinates of all 5 atoms:
P1 0.0000 0.5000 0.0000  2 Si 2.60
P2 0.5000 0.0000 0.0000  2 Si 2.60
K1 0.5000 0.5000 0.5000  8 P 3.08, 2 K 3.32
Si1 0.0000 0.0000 0.0000  2 O 1.66
O1 0.0000 0.0000 0.5000  2 Si 1.66



Record 6
Material: KSiP2O
Method: DFT, PBE
State: optimized geometry

Values from the calculation:
volume = 115 Å³/f.u.
polymorph energy (0 for the lowest one) = 1.9498 eV per atom
VASP energy = -13.31 eV/cell
energy relative to the elements, uncorrected = 173 kJ per mole of atoms
magnetic moment = 0.00 μB/cell

abc: 5.2988 5.2988 4.0847
angles: 90.00 90.00 90.00
Closest atoms and distances in Å follow each position.
Fractional coordinates of all 5 atoms:
P1 0.0000 0.5000 0.0000  2 K 2.65
P2 0.5000 0.0000 0.0000  2 K 2.65
K1 0.0000 0.0000 0.0000  2 O 2.04
Si1 0.5000 0.5000 0.5000  8 P 3.35
O1 0.0000 0.0000 0.5000  2 K 2.04



Record 7
Material: KSiPO2
Method: DFT, PBE
State: optimized geometry

Values from the calculation:
volume = 68 Å³/f.u.
polymorph energy (0 for the lowest one) = 0.0000 eV per atom
VASP energy = -24.77 eV/cell
energy relative to the elements, uncorrected = -56 kJ per mole of atoms
magnetic moment = 1.67 μB/cell

abc: 3.8433 3.8433 4.6350
angles: 90.00 90.00 90.00
Closest atoms and distances in Å follow each position.
Fractional coordinates of all 5 atoms:
P1 0.0000 0.0000 0.5000  2 Si 2.32
K1 0.5000 0.5000 0.5000  4 P 2.72, 8 O 3.01
Si1 0.0000 0.0000 0.0000  4 O 1.92
O1 0.0000 0.5000 0.0000  2 Si 1.92
O2 0.5000 0.0000 0.0000  2 Si 1.92



Record 8
Material: KSiPO2
Method: DFT, PBE
State: optimized geometry

Values from the calculation:
volume = 74 Å³/f.u.
polymorph energy (0 for the lowest one) = 0.5250 eV per atom
VASP energy = -22.15 eV/cell
energy relative to the elements, uncorrected = -6 kJ per mole of atoms
magnetic moment = 0.00 μB/cell

abc: 4.0304 4.5401 4.0304
angles: 90.00 90.00 90.00
Closest atoms and distances in Å follow each position.
Fractional coordinates of all 5 atoms:
P1 0.0000 0.0000 0.0000  4 O 2.02
K1 0.5000 0.5000 0.5000  4 Si 2.85, 8 O 3.04
Si1 0.0000 0.5000 0.0000  2 P 2.27
O1 0.0000 0.0000 0.5000  2 P 2.02
O2 0.5000 0.0000 0.0000  2 P 2.02